Crystalline Ca2VSnF at its relaxed geometry, computed with PBE with a Hubbard U.

Structure (POSCAR):
```
Ca2VSnF
1.0
5.8737 0.0000 0.0000
0.0000 5.8737 0.0000
0.0000 0.0000 5.0796
Ca V Sn F
2 1 1 1
Cartesian
0.0000 2.9369 0.0000
2.9369 0.0000 0.0000
0.0000 0.0000 0.0000
0.0000 0.0000 2.5398
2.9369 2.9369 2.5398
```

- Symmetry: P4/mmm, No. 123
- Total energy: -17.46 eV per cell
- Total magnetic moment: 4.075 μB/cell